Crystalline CaEu2Sb at its relaxed geometry, computed with GGA-PBE.

Values from the calculation:
space group = P4/mmm
formation energy (no corrections) = -537.4 meV per atom
total magnetic moment = 14.67 μB per cell

Cell lengths 4.3302, 4.3302, 7.3586 Å; angles 90.00, 90.00, 90.00 degrees
Last column: nearest neighbours and their distance in Å.
Positions (direct):
Ca: 0.0000 0.0000 0.0000  2 Sb 3.68, 8 Eu 3.73
Eu: 0.5000 0.5000 0.2888  1 Eu 3.11, 4 Sb 3.43
Eu: 0.5000 0.5000 0.7112  1 Eu 3.11, 4 Sb 3.43
Sb: 0.0000 0.0000 0.5000  8 Eu 3.43, 2 Ca 3.68

Crystalline CaEu2Sb at its relaxed geometry, computed with GGA-PBE.

Values from the calculation:
space group = P4/mmm
formation energy (no corrections) = -551.9 meV per atom
total magnetic moment = 14.69 μB per cell

Cell lengths 5.0770, 5.0770, 5.0333 Å; angles 90.00, 90.00, 90.00 degrees
Last column: nearest neighbours and their distance in Å.
Positions (direct):
Ca: 0.0000 0.0000 0.0000  8 Eu 3.57, 4 Sb 3.59
Eu: 0.0000 0.5000 0.5000  4 Sb 3.57, 4 Ca 3.57, 4 Eu 3.59
Eu: 0.5000 0.0000 0.5000  4 Sb 3.57, 4 Ca 3.57, 4 Eu 3.59
Sb: 0.5000 0.5000 0.0000  8 Eu 3.57, 4 Ca 3.59

Crystalline Ca2EuSb at its relaxed geometry, computed with GGA-PBE.

Values from the calculation:
space group = P4/mmm
formation energy (no corrections) = -537.7 meV per atom
total magnetic moment = 7.45 μB per cell

Cell lengths 5.0152, 5.0152, 5.1059 Å; angles 90.00, 90.00, 90.00 degrees
Last column: nearest neighbours and their distance in Å.
Positions (direct):
Ca: 0.0000 0.5000 0.0000  4 Ca 3.55, 4 Sb 3.58, 4 Eu 3.58
Ca: 0.5000 0.0000 0.0000  4 Ca 3.55, 4 Sb 3.58, 4 Eu 3.58
Eu: 0.0000 0.0000 0.5000  4 Sb 3.55, 8 Ca 3.58
Sb: 0.5000 0.5000 0.5000  4 Eu 3.55, 8 Ca 3.58

Crystalline CaEu2Sb at its relaxed geometry, computed with GGA-PBE.

Values from the calculation:
space group = Fm-3m
formation energy (no corrections) = -384.1 meV per atom
total magnetic moment = 59.32 μB per cell

Cell lengths 8.0635, 8.0635, 8.0635 Å; angles 90.00, 90.00, 90.00 degrees
Last column: nearest neighbours and their distance in Å.
Positions (direct):
Ca: 0.0000 0.0000 0.0000  8 Eu 3.49
Ca: 0.0000 0.5000 0.5000  8 Eu 3.49
Ca: 0.5000 0.0000 0.5000  8 Eu 3.49
Ca: 0.5000 0.5000 0.0000  8 Eu 3.49
Eu: 0.2500 0.2500 0.2500  4 Sb 3.49, 4 Ca 3.49
Eu: 0.2500 0.2500 0.7500  4 Sb 3.49, 4 Ca 3.49
Eu: 0.2500 0.7500 0.2500  4 Sb 3.49, 4 Ca 3.49
Eu: 0.2500 0.7500 0.7500  4 Sb 3.49, 4 Ca 3.49
Eu: 0.7500 0.2500 0.2500  4 Sb 3.49, 4 Ca 3.49
Eu: 0.7500 0.2500 0.7500  4 Sb 3.49, 4 Ca 3.49
Eu: 0.7500 0.7500 0.2500  4 Sb 3.49, 4 Ca 3.49
Eu: 0.7500 0.7500 0.7500  4 Ca 3.49, 4 Sb 3.49
Sb: 0.0000 0.0000 0.5000  8 Eu 3.49
Sb: 0.0000 0.5000 0.0000  8 Eu 3.49
Sb: 0.5000 0.0000 0.0000  8 Eu 3.49
Sb: 0.5000 0.5000 0.5000  8 Eu 3.49

Crystalline Ca2EuSb at its relaxed geometry, computed with GGA-PBE.

Values from the calculation:
space group = Fm-3m
formation energy (no corrections) = -292.2 meV per atom
total magnetic moment = 30.05 μB per cell

Cell lengths 8.0348, 8.0348, 8.0348 Å; angles 90.00, 90.00, 90.00 degrees
Last column: nearest neighbours and their distance in Å.
Positions (direct):
Ca: 0.2500 0.2500 0.2500  4 Sb 3.48, 4 Eu 3.48
Ca: 0.2500 0.2500 0.7500  4 Sb 3.48, 4 Eu 3.48
Ca: 0.2500 0.7500 0.2500  4 Sb 3.48, 4 Eu 3.48
Ca: 0.2500 0.7500 0.7500  4 Sb 3.48, 4 Eu 3.48
Ca: 0.7500 0.2500 0.2500  4 Sb 3.48, 4 Eu 3.48
Ca: 0.7500 0.2500 0.7500  4 Sb 3.48, 4 Eu 3.48
Ca: 0.7500 0.7500 0.2500  4 Sb 3.48, 4 Eu 3.48
Ca: 0.7500 0.7500 0.7500  4 Sb 3.48, 4 Eu 3.48
Eu: 0.0000 0.0000 0.0000  8 Ca 3.48
Eu: 0.0000 0.5000 0.5000  8 Ca 3.48
Eu: 0.5000 0.0000 0.5000  8 Ca 3.48
Eu: 0.5000 0.5000 0.0000  8 Ca 3.48
Sb: 0.0000 0.0000 0.5000  8 Ca 3.48
Sb: 0.0000 0.5000 0.0000  8 Ca 3.48
Sb: 0.5000 0.0000 0.0000  8 Ca 3.48
Sb: 0.5000 0.5000 0.5000  8 Ca 3.48

Crystalline Ca2EuSb at its relaxed geometry, computed with GGA-PBE.

Values from the calculation:
space group = P4/mmm
formation energy (no corrections) = -475.2 meV per atom
total magnetic moment = 7.80 μB per cell

Cell lengths 4.3156, 4.3156, 7.1917 Å; angles 90.00, 90.00, 90.00 degrees
Last column: nearest neighbours and their distance in Å.
Positions (direct):
Ca: 0.0000 0.0000 0.2168  1 Ca 3.12, 4 Sb 3.43
Ca: 0.0000 0.0000 0.7832  1 Ca 3.12, 4 Sb 3.43
Eu: 0.5000 0.5000 0.5000  2 Sb 3.60, 8 Ca 3.67
Sb: 0.5000 0.5000 0.0000  8 Ca 3.43, 2 Eu 3.60

One value per record, in order, for N(E_F): 6.8, 2.5, 2.2, 4.4, 3.8, 9.4 states/eV/f.u..